(1)
## AcCuGe3 (GGA-PBE)

Data for AcCuGe3 after structural relaxation.

Calculated values
Calculated volume ... 114.5 Å³/cell
VASP energy ... -22.6 eV/f.u.
Polymorph energy (0 for the lowest one) ... 31.5 kJ/mol of atoms
Energy of formation from the pure elements ... -0.10 eV/atom
Density of states at the Fermi level ... 0.917 states/eV/atom

abc: 4.8553 4.8553 4.8553
angles: 90.00 90.00 90.00
Space group Pm-3m (No. 221)
Symmetry-distinct sites (fractional):
1 Ac 0.0000 0.0000 0.0000 x1
2 Cu 0.5000 0.5000 0.5000 x1
3 Ge 0.0000 0.5000 0.5000 x3

(2)
## Ac2Cu2Ge3 (GGA-PBE)

Data for Ac2Cu2Ge3 after structural relaxation.

Calculated values
Calculated volume ... 317.3 Å³/cell
VASP energy ... -33.2 eV/f.u.
Polymorph energy (0 for the lowest one) ... 11.5 kJ/mol of atoms
Energy of formation from the pure elements ... -0.41 eV/atom
Density of states at the Fermi level ... 0.601 states/eV/atom

abc: 10.5197 4.4485 7.1287
angles: 90.00 107.96 90.00
Space group C2/m (No. 12)
Symmetry-distinct sites (fractional):
1 Ac 0.1477 0.0000 0.2832 x4
2 Cu 0.1606 0.0000 0.8114 x4
3 Ge 0.0000 0.5000 0.5000 x2
4 Ge 0.1005 0.5000 0.9328 x4

(3)
## AcCu2Ge (GGA-PBE)

Data for AcCu2Ge after structural relaxation.

Calculated values
Calculated volume ... 84.2 Å³/cell
VASP energy ... -16.6 eV/f.u.
Energy of formation from the pure elements ... 0.07 eV/atom
Density of states at the Fermi level ... 0.882 states/eV/atom

abc: 3.5662 3.5662 6.6174
angles: 90.00 90.00 90.00
Space group P4/mmm (No. 123)
Symmetry-distinct sites (fractional):
1 Ac 0.0000 0.0000 0.0000 x1
2 Cu 0.5000 0.5000 0.3121 x2
3 Ge 0.0000 0.0000 0.5000 x1

(4)
## Ac3Cu2Ge2 (GGA-PBE)

Data for Ac3Cu2Ge2 after structural relaxation.

Calculated values
Calculated volume ... 376.8 Å³/cell
VASP energy ... -33.3 eV/f.u.
Polymorph energy (0 for the lowest one) ... 0.0 kJ/mol of atoms
Energy of formation from the pure elements ... -0.51 eV/atom
Density of states at the Fermi level ... 0.787 states/eV/atom

abc: 4.3969 4.4732 19.1570
angles: 90.00 90.00 90.00
Space group Immm (No. 71)
Symmetry-distinct sites (fractional):
1 Ac 0.0000 0.0000 0.0000 x2
2 Ac 0.0000 0.5000 0.3163 x4
3 Cu 0.0000 0.0000 0.4344 x4
4 Ge 0.0000 0.5000 0.1358 x4

(5)
## AcCu12Ge6 (GGA-PBE)

Data for AcCu12Ge6 after structural relaxation.

Calculated values
Calculated volume ... 896.1 Å³/cell
VASP energy ... -80.5 eV/f.u.
Energy of formation from the pure elements ... 0.03 eV/atom
Density of states at the Fermi level ... 0.264 states/eV/atom

abc: 10.7956 10.7956 8.8785
angles: 90.00 90.00 120.00
Space group R-3m (No. 166, hexagonal axes)
Symmetry-distinct sites (fractional):
1 Ac 0.0000 0.0000 0.0000 x3
2 Cu 0.0000 0.3867 0.5000 x18
3 Cu 0.0840 0.1680 0.3171 x18
4 Ge 0.0433 0.5216 0.2560 x18

(6)
## Ac2Cu3Ge5 (GGA-PBE)

Data for Ac2Cu3Ge5 after structural relaxation.

Calculated values
Calculated volume ... 207.4 Å³/cell
VASP energy ... -46.8 eV/f.u.
Polymorph energy (0 for the lowest one) ... 13.6 kJ/mol of atoms
Energy of formation from the pure elements ... -0.32 eV/atom
Density of states at the Fermi level ... 0.469 states/eV/atom

abc: 4.6014 4.6014 9.7976
angles: 90.00 90.00 90.00
Space group P-4m2 (No. 115)
Symmetry-distinct sites (fractional):
1 Ac 0.0000 0.5000 0.2323 x2
2 Cu 0.0000 0.0000 0.0000 x1
3 Cu 0.0000 0.5000 0.8863 x2
4 Ge 0.0000 0.0000 0.5000 x1
5 Ge 0.0000 0.5000 0.6367 x2
6 Ge 0.5000 0.5000 0.0000 x1
7 Ge 0.5000 0.5000 0.5000 x1

(7)
## AcCuGeH (GGA-PBE)

Data for AcCuGeH after structural relaxation.

Calculated values
Calculated volume ... 74.4 Å³/cell
VASP energy ... -18.2 eV/f.u.
Density of states at the Fermi level ... 0.559 states/eV/atom

abc: 4.3273 4.3273 4.5847
angles: 90.00 90.00 120.00
Space group P3m1 (No. 156)
Symmetry-distinct sites (fractional):
1 Ac 0.0000 0.0000 0.0000 x1
2 Cu 0.6667 0.3333 0.5303 x1
3 Ge 0.3333 0.6667 0.4799 x1
4 H 0.6667 0.3333 0.8964 x1

(8)
## Ac2Cu3HgGe4 (GGA-PBE)

Data for Ac2Cu3HgGe4 after structural relaxation.

Calculated values
Calculated volume ... 207.2 Å³/cell
VASP energy ... -43.6 eV/f.u.
Energy of formation from the pure elements ... -0.44 eV/atom
Density of states at the Fermi level ... 0.309 states/eV/atom

abc: 4.4518 4.4518 10.4557
angles: 90.00 90.00 90.00
Space group P-4m2 (No. 115)
Symmetry-distinct sites (fractional):
1 Ac 0.0000 0.5000 0.2417 x2
2 Cu 0.0000 0.5000 0.8822 x2
3 Cu 0.5000 0.5000 0.5000 x1
4 Hg 0.0000 0.0000 0.5000 x1
5 Ge 0.0000 0.0000 0.0000 x1
6 Ge 0.0000 0.5000 0.6463 x2
7 Ge 0.5000 0.5000 0.0000 x1